This record from Alexandria describes a relaxed structure of Sm3CuAg. The functional is GGA-PBE.

The formation energy is -0.1545 eV per atom. As for the energy relative to the lowest polymorph listed for this composition: 0.00 kJ per mole of atoms. For the final energy, the calculation gives -87.51 eV per cell. The crystal system is orthorhombic. The density of states at the Fermi level comes out at 16.25 states/eV/cell.

The structure belongs to space group Cmcm (No. 63); the cell edges are 5.1357, 19.8611 and 5.1457 Å and the angles 90.00°, 90.00° and 90.00°. The distinct sites, in fractional coordinates, are Sm at (0.0000, 0.0665, 0.2500), Sm at (0.0000, 0.2499, 0.2500), Sm at (0.0000, 0.4333, 0.2500), Cu at (0.0000, 0.1599, 0.7500) and Ag at (0.0000, 0.3409, 0.7500).